[1]
Material: Cs3H2Au2
Method: DFT, GGA-PBE
State: relaxed

abc: 11.687 11.687 4.275
angles: 90.00 90.00 156.72
Positions (direct):
Cs 0.000 0.000 0.000
Cs 0.178 0.822 0.000
Cs 0.822 0.178 0.000
H 0.314 0.686 0.500
H 0.686 0.314 0.500
Au 0.393 0.607 0.500
Au 0.607 0.393 0.500

As for the density of states at the Fermi level: 0.572 states/eV per atom. As for the calculated total energy: -2.325 eV/atom.

[2]
Material: TiPd2Ru
Method: DFT, GGA-PBE
State: relaxed

abc: 9.681 9.681 9.681
angles: 157.89 157.89 31.46
Positions (direct):
Ti 0.000 0.000 0.000
Ti 0.750 0.250 0.500
Pd 0.126 0.625 0.001
Pd 0.375 0.376 0.501
Pd 0.624 0.125 0.999
Pd 0.875 0.874 0.499
Ru 0.250 0.750 0.500
Ru 0.500 0.500 0.000

As for the density of states at the Fermi level: 0.657 states/eV per atom. As for the calculated total energy: -6.905 eV/atom. The value obtained for the formation energy is -0.02 eV per atom.

Question: What is the formula in the second record?
Answer: TiPd2Ru

Copy entry 1 word for word.
Material: Cs3H2Au2
Method: DFT, GGA-PBE
State: relaxed

abc: 11.687 11.687 4.275
angles: 90.00 90.00 156.72
Positions (direct):
Cs 0.000 0.000 0.000
Cs 0.178 0.822 0.000
Cs 0.822 0.178 0.000
H 0.314 0.686 0.500
H 0.686 0.314 0.500
Au 0.393 0.607 0.500
Au 0.607 0.393 0.500

As for the density of states at the Fermi level: 0.572 states/eV per atom. As for the calculated total energy: -2.325 eV/atom.